1.
## Ac2P2RhN6 (PBE)

Data for a relaxed Ac2P2RhN6 crystal.

Summary:
Total DFT energy (no corrections)   -7.552 eV/atom

Unit cell a=5.6063 b=5.6063 c=16.0581 alpha=90.00 beta=90.00 gamma=120.00
Space group R-3m (No. 166, hexagonal axes)
Symmetry-distinct sites (fractional):
Ac1 0.0000 0.0000 0.2276 [6 per cell]
P1 0.0000 0.0000 0.4321 [6 per cell]
Rh1 0.0000 0.0000 0.0000 [3 per cell]
N1 0.0024 0.5012 0.2512 [18 per cell]


2.
## Ac2PRhN4 (PBE)

Data for a relaxed Ac2PRhN4 crystal.

Summary:
Total DFT energy (no corrections)   -7.214 eV/atom

Unit cell a=5.5436 b=11.0133 c=17.4731 alpha=90.00 beta=90.00 gamma=90.00
Space group Fddd (No. 70, origin choice 2)
Symmetry-distinct sites (fractional):
Ac1 0.1250 0.1250 0.3043 [16 per cell]
P1 0.1250 0.1250 0.6250 [8 per cell]
Rh1 0.1250 0.1250 0.1250 [8 per cell]
N1 0.0692 0.2750 0.8371 [32 per cell]


3.
## AcPRhN (PBE)

Data for a relaxed AcPRhN crystal.

Summary:
Total DFT energy (no corrections)   -7.444 eV/atom

Unit cell a=4.0268 b=4.0268 c=8.3938 alpha=90.00 beta=90.00 gamma=90.00
Space group P4/nmm (No. 129, origin choice 2)
Symmetry-distinct sites (fractional):
Ac1 0.2500 0.2500 0.1660 [2 per cell]
P1 0.2500 0.2500 0.6537 [2 per cell]
Rh1 0.2500 0.7500 0.5000 [2 per cell]
N1 0.2500 0.2500 0.8569 [2 per cell]


4.
## Ac3P2RuN6 (PBE)

Data for a relaxed Ac3P2RuN6 crystal.

Summary:
Total DFT energy (no corrections)   -7.644 eV/atom

Unit cell a=5.6183 b=5.6183 c=6.7354 alpha=90.00 beta=90.00 gamma=120.00
Space group P-3m1 (No. 164)
Symmetry-distinct sites (fractional):
Ac1 0.0000 0.0000 0.0000 [1 per cell]
Ac2 0.3333 0.6667 0.6568 [2 per cell]
P1 0.3333 0.6667 0.2061 [2 per cell]
Ru1 0.0000 0.0000 0.5000 [1 per cell]
N1 0.1729 0.3459 0.2987 [6 per cell]


5.
## Ac2P2RuN6 (PBE)

Data for a relaxed Ac2P2RuN6 crystal.

Summary:
Total DFT energy (no corrections)   -7.762 eV/atom

Unit cell a=5.6075 b=5.6075 c=15.9800 alpha=90.00 beta=90.00 gamma=120.00
Space group R-3m (No. 166, hexagonal axes)
Symmetry-distinct sites (fractional):
Ac1 0.0000 0.0000 0.2301 [6 per cell]
P1 0.0000 0.0000 0.4332 [6 per cell]
Ru1 0.0000 0.0000 0.0000 [3 per cell]
N1 0.0040 0.5020 0.2534 [18 per cell]


6.
## Ac4P2SN (PBE)

Data for a relaxed Ac4P2SN crystal.

Summary:
Total DFT energy (no corrections)   -6.424 eV/atom

Unit cell a=8.5530 b=8.6028 c=12.1048 alpha=90.00 beta=90.00 gamma=90.00
Space group Imma (No. 74)
Symmetry-distinct sites (fractional):
Ac1 0.0000 0.0172 0.2488 [8 per cell]
Ac2 0.2473 0.2500 0.0122 [8 per cell]
P1 0.0000 0.0000 0.0000 [4 per cell]
P2 0.2500 0.2500 0.7500 [4 per cell]
S1 0.0000 0.0000 0.5000 [4 per cell]
N1 0.2500 0.2500 0.2500 [4 per cell]


7.
## Ac8P3S4N (PBE)

Data for a relaxed Ac8P3S4N crystal.

Summary:
Total DFT energy (no corrections)   -6.327 eV/atom

Unit cell a=8.6199 b=8.6199 c=21.2978 alpha=90.00 beta=90.00 gamma=120.00
Space group R-3m (No. 166, hexagonal axes)
Symmetry-distinct sites (fractional):
Ac1 0.0000 0.0000 0.2483 [6 per cell]
Ac2 0.0170 0.5085 0.2439 [18 per cell]
P1 0.0000 0.5000 0.5000 [9 per cell]
S1 0.0000 0.0000 0.0000 [3 per cell]
S2 0.0000 0.5000 0.0000 [9 per cell]
N1 0.0000 0.0000 0.5000 [3 per cell]


8.
## Ac6P2S3N (PBE)

Data for a relaxed Ac6P2S3N crystal.

Summary:
Total DFT energy (no corrections)   -6.368 eV/atom

Unit cell a=18.7964 b=4.2745 c=8.6590 alpha=90.00 beta=103.99 gamma=90.00
Space group C2/m (No. 12)
Symmetry-distinct sites (fractional):
Ac1 0.9998 0.0000 0.2215 [4 per cell]
Ac2 0.1532 0.5000 0.0783 [4 per cell]
Ac3 0.1670 0.5000 0.5813 [4 per cell]
P1 0.1648 0.0000 0.3311 [4 per cell]
S1 0.0000 0.5000 0.5000 [2 per cell]
S2 0.1696 0.0000 0.8354 [4 per cell]
N1 0.0000 0.5000 0.0000 [2 per cell]